## NdInAg2O4 (PBE)

Data for an optimized crystal structure of NdInAg2O4.

The total energy comes out at -5.660 eV/atom. The calculated density comes out at 6.686 Mg/m³. The magnetization comes out at 0.00 Bohr magnetons per cell.

The structure in CIF format:
```
data_NdInAg2O4
_cell_length_a 3.4993
_cell_length_b 3.4993
_cell_length_c 12.6183
_cell_angle_alpha 90.00
_cell_angle_beta 90.00
_cell_angle_gamma 120.00
_space_group_name_H-M_alt 'P -3 m 1'
_space_group_IT_number 164
_space_group_name_Hall '-P 3 2"'
loop_
_atom_site_label
_atom_site_fract_x
_atom_site_fract_y
_atom_site_fract_z
Nd1 0.0000 0.0000 0.0000
In1 0.0000 0.0000 0.5000
Ag1 0.3333 0.6667 0.2563
O1 0.3333 0.6667 0.0926
O2 0.3333 0.6667 0.4217
```

---

## Nd3In3AgPd2 (PBE)

Data for an optimized crystal structure of Nd3In3AgPd2.

The total energy comes out at -4.639 eV/atom. The calculated density comes out at 8.395 Mg/m³. The magnetization comes out at 0.01 Bohr magnetons per cell.

The structure in CIF format:
```
data_Nd3In3AgPd2
_cell_length_a 7.8423
_cell_length_b 7.8423
_cell_length_c 4.0773
_cell_angle_alpha 90.00
_cell_angle_beta 90.00
_cell_angle_gamma 120.00
_space_group_name_H-M_alt 'P -6 2 m'
_space_group_IT_number 189
_space_group_name_Hall 'P -6 -2'
loop_
_atom_site_label
_atom_site_fract_x
_atom_site_fract_y
_atom_site_fract_z
Nd1 0.0000 0.5851 0.0000
In1 0.0000 0.2595 0.5000
Ag1 0.0000 0.0000 0.0000
Pd1 0.3333 0.6667 0.5000
```

---

## Pr2NdIn3AgPd2 (PBE)

Data for an optimized crystal structure of Pr2NdIn3AgPd2.

The total energy comes out at -4.636 eV/atom. The calculated density comes out at 8.341 Mg/m³. The magnetization comes out at 0.03 Bohr magnetons per cell.

The structure in CIF format:
```
data_Pr2NdIn3AgPd2
_cell_length_a 4.036
_cell_length_b 13.653
_cell_length_c 7.884
_cell_angle_alpha 90.00
_cell_angle_beta 90.00
_cell_angle_gamma 90.00
_space_group_name_H-M_alt 'A m m 2'
_space_group_IT_number 38
loop_
_space_group_symop_operation_xyz
'x,y,z'
'-x,-y,z'
'-x,y,z'
'x,-y,z'
'x,y+1/2,z+1/2'
'-x,-y+1/2,z+1/2'
'-x,y+1/2,z+1/2'
'x,-y+1/2,z+1/2'
loop_
_atom_site_label
_atom_site_fract_x
_atom_site_fract_y
_atom_site_fract_z
Pr1 0.000 0.207 0.000
Nd1 0.000 0.000 0.380
In1 0.500 0.000 0.054
In2 0.500 0.129 0.663
Ag1 0.000 0.000 0.793
Pd1 0.500 0.166 0.294
```

---

## Tb2NdIn3AgPd2 (PBE)

Data for an optimized crystal structure of Tb2NdIn3AgPd2.

The total energy comes out at -4.618 eV/atom. The calculated density comes out at 9.063 Mg/m³. The magnetization comes out at 0.00 Bohr magnetons per cell.

The structure in CIF format:
```
data_Tb2NdIn3AgPd2
_cell_length_a 3.857
_cell_length_b 13.641
_cell_length_c 7.852
_cell_angle_alpha 90.00
_cell_angle_beta 90.00
_cell_angle_gamma 90.00
_space_group_name_H-M_alt 'A m m 2'
_space_group_IT_number 38
loop_
_space_group_symop_operation_xyz
'x,y,z'
'-x,-y,z'
'-x,y,z'
'x,-y,z'
'x,y+1/2,z+1/2'
'-x,-y+1/2,z+1/2'
'-x,y+1/2,z+1/2'
'x,-y+1/2,z+1/2'
loop_
_atom_site_label
_atom_site_fract_x
_atom_site_fract_y
_atom_site_fract_z
Tb1 0.000 0.205 0.000
Nd1 0.000 0.000 0.614
In1 0.500 0.000 0.941
In2 0.500 0.135 0.336
Ag1 0.000 0.000 0.203
Pd1 0.500 0.169 0.706
```

---

## TbNd2In3AgPd2 (PBE)

Data for an optimized crystal structure of TbNd2In3AgPd2.

The total energy comes out at -4.626 eV/atom. The calculated density comes out at 8.792 Mg/m³. The magnetization comes out at 0.02 Bohr magnetons per cell.

The structure in CIF format:
```
data_TbNd2In3AgPd2
_cell_length_a 3.901
_cell_length_b 13.642
_cell_length_c 7.898
_cell_angle_alpha 90.00
_cell_angle_beta 90.00
_cell_angle_gamma 90.00
_space_group_name_H-M_alt 'A m m 2'
_space_group_IT_number 38
loop_
_space_group_symop_operation_xyz
'x,y,z'
'-x,-y,z'
'-x,y,z'
'x,-y,z'
'x,y+1/2,z+1/2'
'-x,-y+1/2,z+1/2'
'-x,y+1/2,z+1/2'
'x,-y+1/2,z+1/2'
loop_
_atom_site_label
_atom_site_fract_x
_atom_site_fract_y
_atom_site_fract_z
Tb1 0.000 0.000 0.000
Nd1 0.000 0.205 0.614
In1 0.500 0.000 0.678
In2 0.500 0.131 0.275
Ag1 0.000 0.000 0.408
Pd1 0.500 0.164 0.911
```

---

## NdTm2In3AgPd2 (PBE)

Data for an optimized crystal structure of NdTm2In3AgPd2.

The total energy comes out at -4.571 eV/atom. The calculated density comes out at 9.399 Mg/m³. The magnetization comes out at 0.01 Bohr magnetons per cell.

The structure in CIF format:
```
data_NdTm2In3AgPd2
_cell_length_a 3.807
_cell_length_b 13.636
_cell_length_c 7.810
_cell_angle_alpha 90.00
_cell_angle_beta 90.00
_cell_angle_gamma 90.00
_space_group_name_H-M_alt 'A m m 2'
_space_group_IT_number 38
loop_
_space_group_symop_operation_xyz
'x,y,z'
'-x,-y,z'
'-x,y,z'
'x,-y,z'
'x,y+1/2,z+1/2'
'-x,-y+1/2,z+1/2'
'-x,y+1/2,z+1/2'
'x,-y+1/2,z+1/2'
loop_
_atom_site_label
_atom_site_fract_x
_atom_site_fract_y
_atom_site_fract_z
Nd1 0.000 0.000 0.000
Tm1 0.000 0.205 0.614
In1 0.500 0.000 0.675
In2 0.500 0.136 0.278
Ag1 0.000 0.000 0.412
Pd1 0.500 0.171 0.908
```

---

## Nd2YIn3AgPd2 (PBE)

Data for an optimized crystal structure of Nd2YIn3AgPd2.

The total energy comes out at -4.831 eV/atom. The calculated density comes out at 8.252 Mg/m³. The magnetization comes out at 0.01 Bohr magnetons per cell.

The structure in CIF format:
```
data_Nd2YIn3AgPd2
_cell_length_a 3.894
_cell_length_b 13.652
_cell_length_c 7.892
_cell_angle_alpha 90.00
_cell_angle_beta 90.00
_cell_angle_gamma 90.00
_space_group_name_H-M_alt 'A m m 2'
_space_group_IT_number 38
loop_
_space_group_symop_operation_xyz
'x,y,z'
'-x,-y,z'
'-x,y,z'
'x,-y,z'
'x,y+1/2,z+1/2'
'-x,-y+1/2,z+1/2'
'-x,y+1/2,z+1/2'
'x,-y+1/2,z+1/2'
loop_
_atom_site_label
_atom_site_fract_x
_atom_site_fract_y
_atom_site_fract_z
Nd1 0.000 0.205 0.000
Y1 0.000 0.000 0.614
In1 0.500 0.000 0.936
In2 0.500 0.131 0.340
Ag1 0.000 0.000 0.207
Pd1 0.500 0.164 0.704
```

---

## Pr2NdIn3Ag2Pt (PBE)

Data for an optimized crystal structure of Pr2NdIn3Ag2Pt.

The total energy comes out at -4.382 eV/atom. The calculated density comes out at 8.814 Mg/m³. The magnetization comes out at 0.02 Bohr magnetons per cell.

The structure in CIF format:
```
data_Pr2NdIn3Ag2Pt
_cell_length_a 4.146
_cell_length_b 13.641
_cell_length_c 7.869
_cell_angle_alpha 90.00
_cell_angle_beta 90.00
_cell_angle_gamma 90.00
_space_group_name_H-M_alt 'A m m 2'
_space_group_IT_number 38
loop_
_space_group_symop_operation_xyz
'x,y,z'
'-x,-y,z'
'-x,y,z'
'x,-y,z'
'x,y+1/2,z+1/2'
'-x,-y+1/2,z+1/2'
'-x,y+1/2,z+1/2'
'x,-y+1/2,z+1/2'
loop_
_atom_site_label
_atom_site_fract_x
_atom_site_fract_y
_atom_site_fract_z
Pr1 0.000 0.201 0.000
Nd1 0.000 0.000 0.603
In1 0.500 0.000 0.952
In2 0.500 0.125 0.326
Ag1 0.500 0.166 0.701
Pt1 0.000 0.000 0.202
```